(1)
Here is crystalline Dy12Al3In at its relaxed geometry from Alexandria via LeMat-Bulk. Energies are from GGA-PBE.

Properties
Formation energy from the elements: -0.207 eV per atom
Fermi-level density of states: 22.353 states/eV/f.u.
Raw total energy: -4.532 eV/atom
Crystal system: tetragonal

Unit cell a=4.7765 b=4.7765 c=19.1161 alpha=90.00 beta=90.00 gamma=90.00
Fractional coordinates of all 16 atoms:
Dy  0.5000  0.5000  0.7478
Dy  0.0000  0.5000  0.3758
Dy  0.5000  0.0000  0.8707
Dy  0.0000  0.5000  0.1293
Dy  0.5000  0.0000  0.6242
Dy  0.5000  0.0000  0.1293
Dy  0.5000  0.5000  0.0000
Dy  0.5000  0.5000  0.5000
Dy  0.0000  0.5000  0.6242
Dy  0.0000  0.5000  0.8707
Dy  0.5000  0.0000  0.3758
Dy  0.5000  0.5000  0.2522
In  0.0000  0.0000  0.0000
Al  0.0000  0.0000  0.2517
Al  0.0000  0.0000  0.7483
Al  0.0000  0.0000  0.5000

***

(2)
Here is crystalline Dy6AlIn at its relaxed geometry from Alexandria via LeMat-Bulk. Energies are from GGA-PBE.

Properties
Formation energy from the elements: -0.229 eV per atom
Fermi-level density of states: 11.760 states/eV/f.u.
Raw total energy: -4.490 eV/atom
Crystal system: tetragonal

Unit cell a=4.8011 b=4.8011 c=9.5964 alpha=90.00 beta=90.00 gamma=90.00
Fractional coordinates of all 8 atoms:
Al  0.0000  0.0000  0.5000
Dy  0.5000  0.0000  0.2569
Dy  0.5000  0.5000  0.0000
Dy  0.5000  0.5000  0.5000
Dy  0.0000  0.5000  0.7431
Dy  0.0000  0.5000  0.2569
Dy  0.5000  0.0000  0.7431
In  0.0000  0.0000  0.0000

***

(3)
Here is crystalline DyAlIn2 at its relaxed geometry from Alexandria via LeMat-Bulk. Energies are from GGA-PBE.

Properties
Formation energy from the elements: -0.182 eV per atom
Fermi-level density of states: 3.407 states/eV/f.u.
Distance to the lowest polymorph of the same formula: 18.53 kJ/mol of atoms
Raw total energy: -3.637 eV/atom
Crystal system: tetragonal

Unit cell a=3.7486 b=3.7486 c=6.8574 alpha=90.00 beta=90.00 gamma=90.00
Each line ends with the local moment (μB).
Fractional coordinates of all 4 atoms:
Dy  0.5000  0.5000  0.5000  0.05
In  0.0000  0.0000  0.7810  0.00
In  0.0000  0.0000  0.2190  0.00
Al  0.5000  0.5000  0.0000  0.00

***

(4)
Here is crystalline Dy5AlIn3 at its relaxed geometry from Alexandria via LeMat-Bulk. Energies are from GGA-PBE.

Properties
Formation energy from the elements: -0.412 eV per atom
Fermi-level density of states: 7.054 states/eV/f.u.
Raw total energy: -4.298 eV/atom
Crystal system: hexagonal

Unit cell a=6.5727 b=9.2437 c=9.2436 alpha=120.00 beta=90.00 gamma=90.00
Fractional coordinates of all 18 atoms:
In  0.7500  0.6253  0.0000
In  0.2500  0.3747  0.0000
In  0.2500  0.6253  0.6253
In  0.2500  0.0000  0.3747
In  0.7500  0.0000  0.6253
In  0.7500  0.3747  0.3747
Dy  0.2500  0.0000  0.7208
Dy  0.0000  0.3333  0.6667
Dy  0.5000  0.3333  0.6667
Dy  0.7500  0.2792  0.0000
Dy  0.7500  0.7208  0.7208
Dy  0.5000  0.6667  0.3333
Dy  0.7500  0.0000  0.2792
Dy  0.0000  0.6667  0.3333
Dy  0.2500  0.7208  0.0000
Dy  0.2500  0.2792  0.2792
Al  0.0000  0.0000  0.0000
Al  0.5000  0.0000  0.0000

***

(5)
Here is crystalline Dy5AlIn4 at its relaxed geometry from Alexandria via LeMat-Bulk. Energies are from GGA-PBE.

Properties
Formation energy from the elements: -0.449 eV per atom
Fermi-level density of states: 5.050 states/eV/f.u.
Raw total energy: -4.220 eV/atom
Crystal system: tetragonal

Unit cell a=3.6636 b=3.6636 c=19.3240 alpha=90.00 beta=90.00 gamma=90.00
Fractional coordinates of all 10 atoms:
Dy  0.5000  0.5000  0.0916
Dy  0.5000  0.5000  0.9084
Dy  0.5000  0.5000  0.2943
Dy  0.5000  0.5000  0.7057
Dy  0.5000  0.5000  0.5000
In  0.0000  0.0000  0.3971
In  0.0000  0.0000  0.6029
In  0.0000  0.0000  0.1932
In  0.0000  0.0000  0.8068
Al  0.0000  0.0000  0.0000

***

(6)
Here is crystalline Dy7Al4In at its relaxed geometry from Alexandria via LeMat-Bulk. Energies are from GGA-PBE.

Properties
Formation energy from the elements: -0.142 eV per atom
Fermi-level density of states: 11.698 states/eV/f.u.
Raw total energy: -4.302 eV/atom
Crystal system: monoclinic

Unit cell a=5.6939 b=8.9079 c=7.4964 alpha=67.33 beta=67.68 gamma=71.36
Fractional coordinates of all 12 atoms:
Al  0.5195  0.3356  0.6254
Al  0.3219  0.3400  0.0163
Al  0.4805  0.6644  0.3746
Al  0.6781  0.6600  0.9837
Dy  0.8103  0.8689  0.5105
Dy  0.9198  0.4169  0.7436
Dy  0.1897  0.1311  0.4895
Dy  0.5000  0.0000  0.0000
Dy  0.7413  0.2921  0.2252
Dy  0.2587  0.7079  0.7748
Dy  0.0802  0.5831  0.2564
In  0.0000  0.0000  0.0000

***

(7)
Here is crystalline Dy4AlIn3 at its relaxed geometry from Alexandria via LeMat-Bulk. Energies are from GGA-PBE.

Properties
Formation energy from the elements: -0.399 eV per atom
Fermi-level density of states: 8.678 states/eV/f.u.
Distance to the lowest polymorph of the same formula: 4.48 kJ/mol of atoms
Raw total energy: -4.195 eV/atom
Crystal system: orthorhombic

Unit cell a=4.2197 b=4.4760 c=11.5826 alpha=90.00 beta=90.00 gamma=90.00
Fractional coordinates of all 8 atoms:
Dy  0.0000  0.0000  0.1432
Dy  0.0000  0.5000  0.8597
Dy  0.5000  0.5000  0.3475
Dy  0.5000  0.0000  0.6472
In  0.0000  0.5000  0.5829
In  0.0000  0.0000  0.4179
In  0.5000  0.0000  0.9245
Al  0.5000  0.5000  0.0772

***

(8)
Here is crystalline Dy3AlIn2 at its relaxed geometry from Alexandria via LeMat-Bulk. Energies are from GGA-PBE.

Properties
Formation energy from the elements: -0.439 eV per atom
Fermi-level density of states: 2.706 states/eV/f.u.
Raw total energy: -4.277 eV/atom
Crystal system: tetragonal

Unit cell a=3.6345 b=3.6345 c=11.5772 alpha=90.00 beta=90.00 gamma=90.00
Fractional coordinates of all 6 atoms:
Dy  0.0000  0.0000  0.3441
Dy  0.0000  0.0000  0.0000
Dy  0.0000  0.0000  0.6559
In  0.5000  0.5000  0.1713
In  0.5000  0.5000  0.8287
Al  0.5000  0.5000  0.5000

***

(9)
Here is crystalline Dy7Al5In at its relaxed geometry from Alexandria via LeMat-Bulk. Energies are from GGA-PBE.

Properties
Formation energy from the elements: -0.243 eV per atom
Fermi-level density of states: 10.952 states/eV/f.u.
Raw total energy: -4.371 eV/atom
Crystal system: orthorhombic

Unit cell a=6.2295 b=7.9156 c=7.9156 alpha=78.10 beta=66.83 gamma=66.83
Fractional coordinates of all 13 atoms:
Al  0.5435  0.9883  0.4791
Al  0.9890  0.9883  0.4791
Al  0.5435  0.4791  0.9883
Al  0.7747  0.7253  0.7253
Al  0.9890  0.4791  0.9883
Dy  0.2471  0.7529  0.7529
Dy  0.0184  0.6633  0.2999
Dy  0.6090  0.3910  0.3910
Dy  0.5261  0.1450  0.8029
Dy  0.0184  0.2999  0.6633
Dy  0.5261  0.8029  0.1450
Dy  0.2789  0.2211  0.2211
In  0.9364  0.0636  0.0636

***

(10)
Here is crystalline LiDyAlIn at its relaxed geometry from Alexandria via LeMat-Bulk. Energies are from GGA-PBE.

Properties
Formation energy from the elements: -0.294 eV per atom
Fermi-level density of states: 0.754 states/eV/f.u.
Raw total energy: -3.543 eV/atom
Crystal system: cubic

Unit cell a=4.9923 b=4.9923 c=4.9923 alpha=60.00 beta=60.00 gamma=60.00
Fractional coordinates of all 4 atoms:
Al  0.7500  0.7500  0.7500
Li  0.0000  0.0000  0.0000
Dy  0.5000  0.5000  0.5000
In  0.2500  0.2500  0.2500

***

(11)
Here is crystalline DyLuAlIn at its relaxed geometry from Alexandria via LeMat-Bulk. Energies are from GGA-PBE.

Properties
Formation energy from the elements: -0.387 eV per atom
Fermi-level density of states: 1.677 states/eV/f.u.
Raw total energy: -4.289 eV/atom
Crystal system: cubic

Unit cell a=5.1703 b=5.1703 c=5.1703 alpha=60.00 beta=60.00 gamma=60.00
Fractional coordinates of all 4 atoms:
Dy  0.5000  0.5000  0.5000
In  0.2500  0.2500  0.2500
Al  0.7500  0.7500  0.7500
Lu  0.0000  0.0000  0.0000

***

(12)
Here is crystalline DyMgAlIn at its relaxed geometry from Alexandria via LeMat-Bulk. Energies are from GGA-PBE.

Properties
Formation energy from the elements: -0.352 eV per atom
Fermi-level density of states: 2.041 states/eV/f.u.
Distance to the lowest polymorph of the same formula: 0.00 kJ/mol of atoms
Raw total energy: -3.521 eV/atom
Crystal system: orthorhombic

Unit cell a=4.4248 b=4.4541 c=4.5678 alpha=90.00 beta=90.00 gamma=90.00
Fractional coordinates of all 4 atoms:
Mg  0.0000  0.5000  0.5000
Dy  0.0000  0.0000  0.0000
Al  0.5000  0.5000  0.0000
In  0.5000  0.0000  0.5000